! YHoTmTl, optimized geometry, DFT GGA-PBE; values from VASP
! Space-group type: Pmmm (47)
! E (eV/cell): -18.577
! ΔE to the lowest computed polymorph (eV/f.u.): 0.000
&SYSTEM
  ibrav = 0, nat = 4, ntyp = 4
/
ATOMIC_SPECIES
Tm 168.93 Tm.upf
Y 88.91 Y.upf
Tl 204.38 Tl.upf
Ho 164.93 Ho.upf
CELL_PARAMETERS angstrom
-0.573 -2.853 3.858
4.602 0.800 1.276
-1.385 3.806 2.608
ATOMIC_POSITIONS crystal
Tm 0.500 0.500 0.000
Y 0.000 0.000 0.000
Tl 0.500 0.000 0.500
Ho 0.000 0.500 0.500